This record from OQMD via LeMat-Bulk describes crystalline Ga2Re at its relaxed geometry. The functional is PBE.

Total moment: 0.006 μB/f.u.
Raw total energy: -0.402 Ry per atom
Space-group type: Fd-3m (227)

Lattice parameters (Å, degrees): 4.9888 4.9888 4.9888 60.00 60.00 60.00
With the nearest neighbours (Å) after each atom.
Atoms (fractional coordinates):
Ga 0.0000 0.0000 0.0000  6 Ga 2.49
Ga 0.0000 0.0000 0.5000  6 Ga 2.49
Ga 0.0000 0.5000 0.0000  6 Ga 2.49
Ga 0.5000 0.0000 0.0000  6 Ga 2.49
Re 0.3750 0.3750 0.3750  12 Ga 2.92, 4 Re 3.06
Re 0.6250 0.6250 0.6250  12 Ga 2.92, 4 Re 3.06



This record from OQMD via LeMat-Bulk describes crystalline Cd2B6PbO12 at its relaxed geometry. The functional is PBE.

Raw total energy: -0.521 Ry per atom
Space-group type: P2_1/c (14)

Lattice parameters (Å, degrees): 6.5605 6.9691 20.1896 90.00 108.28 90.00
With the nearest neighbours (Å) after each atom.
Atoms (fractional coordinates):
Cd 0.0450 0.2347 0.4747  5 O 2.19-2.42
Cd 0.0450 0.2653 0.9747  5 O 2.19-2.42
Cd 0.4493 0.7468 0.7358  3 O 2.16-2.38
Cd 0.4493 0.7532 0.2358  3 O 2.16-2.38
Cd 0.5507 0.2468 0.7642  3 O 2.16-2.38
Cd 0.5507 0.2532 0.2642  3 O 2.16-2.38
Cd 0.9550 0.7347 0.0253  5 O 2.19-2.42
Cd 0.9550 0.7653 0.5253  5 O 2.19-2.42
B 0.0652 0.1908 0.2581  3 O 1.37-1.38
B 0.0652 0.3092 0.7581  3 O 1.37-1.38
B 0.0964 0.0312 0.6761  4 O 1.45-1.49
B 0.0964 0.4688 0.1761  4 O 1.45-1.49
B 0.2381 0.0612 0.1269  3 O 1.35-1.42
B 0.2381 0.4388 0.6269  3 O 1.35-1.42
B 0.2815 0.0698 0.3780  4 O 1.45-1.54
B 0.2815 0.4302 0.8780  4 O 1.45-1.54
B 0.3629 0.0936 0.6079  4 O 1.45-1.50
B 0.3629 0.4064 0.1079  4 O 1.45-1.50
B 0.3846 0.6945 0.0345  3 O 1.34-1.41
B 0.3846 0.8055 0.5345  3 O 1.34-1.41
B 0.6154 0.1945 0.4655  3 O 1.34-1.41
B 0.6154 0.3055 0.9655  3 O 1.34-1.41
B 0.6371 0.5936 0.8921  4 O 1.45-1.50
B 0.6371 0.9064 0.3921  4 O 1.45-1.50
B 0.7185 0.5698 0.1220  4 O 1.45-1.54
B 0.7185 0.9302 0.6220  4 O 1.45-1.54
B 0.7619 0.5612 0.3731  3 O 1.35-1.42
B 0.7619 0.9388 0.8731  3 O 1.35-1.42
B 0.9036 0.5312 0.8239  4 O 1.45-1.49
B 0.9036 0.9688 0.3239  4 O 1.45-1.49
B 0.9348 0.6908 0.2419  3 O 1.37-1.38
B 0.9348 0.8092 0.7419  3 O 1.37-1.38
Pb 0.2756 0.5680 0.3876  3 O 2.33-2.49
Pb 0.2756 0.9320 0.8876  3 O 2.33-2.49
Pb 0.7244 0.0680 0.1124  3 O 2.33-2.49
Pb 0.7244 0.4320 0.6124  3 O 2.33-2.49
O 0.0396 0.2247 0.6950  2 B 1.37-1.48
O 0.0396 0.2753 0.1950  2 B 1.37-1.48
O 0.0657 0.5567 0.6103  1 B 1.35
O 0.0657 0.9433 0.1103  1 B 1.35
O 0.0732 0.0295 0.3854  2 B 1.45
O 0.0732 0.4705 0.8854  2 B 1.45
O 0.1150 0.6000 0.2363  2 B 1.38-1.49
O 0.1150 0.9000 0.7363  2 B 1.38-1.49
O 0.2565 0.1851 0.3109  1 B 1.37
O 0.2557 0.2179 0.0841  2 B 1.42-1.50
O 0.2557 0.2821 0.5841  2 B 1.42-1.50
O 0.2565 0.3149 0.8109  1 B 1.37
O 0.2688 0.5379 0.0482  2 B 1.41-1.49
O 0.2688 0.9621 0.5482  2 B 1.41-1.49
O 0.2703 0.6588 0.4980  1 B 1.34
O 0.2703 0.8412 0.9980  1 B 1.34
O 0.3124 0.0273 0.6698  2 B 1.46-1.47
O 0.3124 0.4727 0.1698  2 B 1.46-1.47
O 0.3942 0.1986 0.4364  2 B 1.38-1.48
O 0.3942 0.3014 0.9364  2 B 1.38-1.48
O 0.4060 0.6023 0.8764  2 B 1.45-1.46
O 0.4060 0.8977 0.3764  2 B 1.45-1.46
O 0.4134 0.0293 0.1849  1 B 1.38
O 0.4134 0.4707 0.6849  1 B 1.38
O 0.5866 0.5293 0.3151  1 B 1.38
O 0.5866 0.9707 0.8151  1 B 1.38
O 0.5940 0.1023 0.6236  2 B 1.45-1.46
O 0.5940 0.3977 0.1236  2 B 1.45-1.46
O 0.6058 0.6986 0.0636  2 B 1.38-1.48
O 0.6058 0.8014 0.5636  2 B 1.38-1.48
O 0.6876 0.5273 0.8302  2 B 1.46-1.47
O 0.6876 0.9727 0.3302  2 B 1.46-1.47
O 0.7297 0.1588 0.0020  1 B 1.34
O 0.7297 0.3412 0.5020  1 B 1.34
O 0.7312 0.0379 0.4518  2 B 1.41-1.49
O 0.7312 0.4621 0.9518  2 B 1.41-1.49
O 0.7435 0.6851 0.1891  1 B 1.37
O 0.7443 0.7179 0.4159  2 B 1.42-1.50
O 0.7443 0.7821 0.9159  2 B 1.42-1.50
O 0.7435 0.8149 0.6891  1 B 1.37
O 0.8850 0.1000 0.2637  2 B 1.38-1.49
O 0.8850 0.4000 0.7637  2 B 1.38-1.49
O 0.9268 0.5295 0.1146  2 B 1.45
O 0.9268 0.9705 0.6146  2 B 1.45
O 0.9343 0.0567 0.8897  1 B 1.35
O 0.9343 0.4433 0.3897  1 B 1.35
O 0.9604 0.7247 0.8050  2 B 1.37-1.48
O 0.9604 0.7753 0.3050  2 B 1.37-1.48



This record from OQMD via LeMat-Bulk describes crystalline YHoCu4 at its relaxed geometry. The functional is PBE.

Total moment: 0.002 μB/f.u.
Relative energy among the computed polymorphs: 0 meV per atom
Raw total energy: -0.337 Ry per atom
Space-group type: Imm2 (44)
Formation enthalpy at 0 K: -0.271 eV per atom

Lattice parameters (Å, degrees): 5.4499 5.4499 5.4499 133.73 103.14 94.67
With the nearest neighbours (Å) after each atom.
Atoms (fractional coordinates):
Y 0.0000 0.0000 0.0000  12 Cu 2.95-3.11
Ho 0.5833 0.0833 0.5000  12 Cu 2.96-3.10
Cu 0.0029 0.7074 0.2955  4 Cu 2.48-2.77
Cu 0.1751 0.3781 0.7969  4 Cu 2.48-2.75
Cu 0.4119 0.7074 0.7045  4 Cu 2.48-2.77
Cu 0.5812 0.3781 0.2031  4 Cu 2.48-2.75



This record from OQMD via LeMat-Bulk describes crystalline Si2Sb2Pd3 at its relaxed geometry. The functional is PBE.

Raw total energy: -0.374 Ry per atom
Space-group type: R3m (160)

Lattice parameters (Å, degrees): 8.3509 8.3509 8.3509 30.31 30.31 30.31
With the nearest neighbours (Å) after each atom.
Atoms (fractional coordinates):
Si 0.0000 0.0000 0.0000  6 Pd 2.53-2.82
Si 0.4983 0.4983 0.4983  4 Pd 2.72-2.76, 3 Sb 2.98
Sb 0.2315 0.2315 0.2315  5 Pd 2.61-2.78
Sb 0.7429 0.7429 0.7429  6 Pd 2.75-2.96
Pd 0.1222 0.1222 0.1222  4 Sb 2.61-2.75, 4 Si 2.72-2.92
Pd 0.3444 0.3444 0.3444  3 Si 2.53, 1 Sb 2.70
Pd 0.6138 0.6138 0.6138  4 Si 2.76-2.82, 4 Sb 2.78-3.08, 3 Pd 2.95



This record from OQMD via LeMat-Bulk describes crystalline Ba2TmOsS6 at its relaxed geometry. The functional is PBE.

Total moment: 0.450 μB/f.u.
Raw total energy: -0.419 Ry per atom
Space-group type: I4/m (87)

Lattice parameters (Å, degrees): 6.9940 6.9940 6.9940 120.01 120.01 89.99
With the nearest neighbours (Å) after each atom.
Atoms (fractional coordinates):
Ba 0.2500 0.7500 0.5000  12 S 3.46-3.54
Ba 0.7500 0.2500 0.5000  12 S 3.46-3.54
Tm 0.0000 0.0000 0.0000  6 S 2.59
Os 0.5000 0.5000 0.0000  6 S 2.36
S 0.2567 0.2670 0.5237  1 Os 2.36, 1 Tm 2.59
S 0.2618 0.2618 0.0000  1 Os 2.36, 1 Tm 2.59
S 0.2670 0.7433 0.0104  1 Os 2.36, 1 Tm 2.59
S 0.7330 0.2567 0.9896  1 Os 2.36, 1 Tm 2.59
S 0.7382 0.7382 0.0000  1 Os 2.36, 1 Tm 2.59
S 0.7433 0.7330 0.4763  1 Os 2.36, 1 Tm 2.59



This record from OQMD via LeMat-Bulk describes crystalline HgPt17 at its relaxed geometry. The functional is PBE.

Total moment: 0.070 μB/f.u.
Raw total energy: -0.415 Ry per atom
Space-group type: P2_1/m (11)
Formation enthalpy at 0 K: 0.095 eV per atom

Lattice parameters (Å, degrees): 4.7922 5.5397 33.5433 90.00 90.22 90.00
With the nearest neighbours (Å) after each atom.
Atoms (fractional coordinates):
Hg 0.1649 0.2500 0.2971  6 Pt 2.86-2.87
Hg 0.8351 0.7500 0.7029  6 Pt 2.86-2.87
Pt 0.0000 0.0000 0.0000  12 Pt 2.77-2.82
Pt 0.0002 0.0031 0.2078  11 Pt 2.73-2.86
Pt 0.0002 0.4969 0.2078  11 Pt 2.73-2.86
Pt 0.0000 0.5000 0.0000  12 Pt 2.77-2.82
Pt 0.9998 0.5031 0.7922  11 Pt 2.73-2.86
Pt 0.9998 0.9969 0.7922  11 Pt 2.73-2.86
Pt 0.1643 0.7500 0.8616  12 Pt 2.76-2.87
Pt 0.1652 0.2500 0.8627  12 Pt 2.77-2.86
Pt 0.1670 0.7500 0.2759  7 Pt 2.75-2.83, 2 Hg 2.86
Pt 0.1677 0.2500 0.0692  12 Pt 2.76-2.82
Pt 0.1694 0.7500 0.0690  12 Pt 2.76-2.82
Pt 0.3318 0.9997 0.9310  12 Pt 2.76-2.83
Pt 0.3318 0.5003 0.9310  12 Pt 2.76-2.83
Pt 0.3351 0.0009 0.1384  12 Pt 2.76-2.83
Pt 0.3348 0.0042 0.7241  7 Pt 2.72-2.82, 2 Hg 2.87
Pt 0.3348 0.4958 0.7241  7 Pt 2.72-2.82, 2 Hg 2.87
Pt 0.3351 0.4991 0.1384  12 Pt 2.76-2.83
Pt 0.4941 0.2500 0.2087  11 Pt 2.73-2.87
Pt 0.4987 0.2500 0.7935  12 Pt 2.77-2.83
Pt 0.5001 0.2500 0.0003  12 Pt 2.77-2.82
Pt 0.4999 0.7500 0.9997  12 Pt 2.77-2.82
Pt 0.5013 0.7500 0.2065  12 Pt 2.77-2.83
Pt 0.5059 0.7500 0.7913  11 Pt 2.73-2.87
Pt 0.6649 0.5009 0.8616  12 Pt 2.76-2.83
Pt 0.6652 0.5042 0.2759  7 Pt 2.72-2.82, 2 Hg 2.87
Pt 0.6652 0.9958 0.2759  7 Pt 2.72-2.82, 2 Hg 2.87
Pt 0.6649 0.9991 0.8616  12 Pt 2.76-2.83
Pt 0.6682 0.0003 0.0690  12 Pt 2.76-2.83
Pt 0.6682 0.4997 0.0690  12 Pt 2.76-2.83
Pt 0.8306 0.2500 0.9310  12 Pt 2.76-2.82
Pt 0.8323 0.7500 0.9308  12 Pt 2.76-2.82
Pt 0.8330 0.2500 0.7241  7 Pt 2.75-2.83, 2 Hg 2.86
Pt 0.8348 0.7500 0.1373  12 Pt 2.77-2.86
Pt 0.8357 0.2500 0.1384  12 Pt 2.76-2.87



This record from OQMD via LeMat-Bulk describes crystalline LaNd2Nb2As6 at its relaxed geometry. The functional is PBE.

Total moment: 0.009 μB/f.u.
Raw total energy: -0.479 Ry per atom
Space-group type: I4/mmm (139)

Lattice parameters (Å, degrees): 12.4255 12.4255 12.4255 157.21 157.21 32.45
With the nearest neighbours (Å) after each atom.
Atoms (fractional coordinates):
La 0.0000 0.0000 0.0000  8 As 3.14
Nd 0.1653 0.1653 0.0000  5 As 2.96-3.15
Nd 0.8347 0.8347 0.0000  5 As 2.96-3.15
Nb 0.3901 0.3901 0.0000  5 As 2.40-2.54
Nb 0.6099 0.6099 0.0000  5 As 2.40-2.54
As 0.0823 0.5823 0.5000  2 Nb 2.54
As 0.2895 0.2895 0.0000  1 Nb 2.40
As 0.4177 0.9177 0.5000  2 Nb 2.54
As 0.5823 0.0823 0.5000  2 Nb 2.54
As 0.7105 0.7105 0.0000  1 Nb 2.40
As 0.9177 0.4177 0.5000  2 Nb 2.54



This record from OQMD via LeMat-Bulk describes crystalline ThSiPb at its relaxed geometry. The functional is PBE.

Total moment: 0.000 μB/f.u.
Relative energy among the computed polymorphs: 0 meV per atom
Raw total energy: -0.405 Ry per atom
Space-group type: F-43m (216)

Lattice parameters (Å, degrees): 4.9503 4.9503 4.9503 60.00 60.00 60.00
With the nearest neighbours (Å) after each atom.
Atoms (fractional coordinates):
Th 0.0000 0.0000 0.0000  4 Si 3.03
Si 0.7500 0.7500 0.7500  4 Pb 3.03, 4 Th 3.03
Pb 0.5000 0.5000 0.5000  4 Si 3.03



This record from OQMD via LeMat-Bulk describes crystalline La2PuSe3 at its relaxed geometry. The functional is PBE.

Total moment: 5.918 μB/f.u.
Raw total energy: -0.560 Ry per atom
Space-group type: Immm (71)

Lattice parameters (Å, degrees): 7.3984 7.3984 7.3984 146.54 131.88 59.88
With the nearest neighbours (Å) after each atom.
Atoms (fractional coordinates):
La 0.1687 0.1687 0.0000  6 Se 3.02-3.06
La 0.8313 0.8313 0.0000  6 Se 3.02-3.06
Pu 0.5000 0.5000 0.0000  6 Se 2.96-3.02
Se 0.0000 0.5000 0.5000  2 Pu 3.02, 4 La 3.04
Se 0.3402 0.8402 0.5000  2 Pu 2.96, 4 La 3.02-3.06
Se 0.6598 0.1598 0.5000  2 Pu 2.96, 4 La 3.02-3.06



What did the sixth record say?
This record from OQMD via LeMat-Bulk describes crystalline HgPt17 at its relaxed geometry. The functional is PBE.

Total moment: 0.070 μB/f.u.
Raw total energy: -0.415 Ry per atom
Space-group type: P2_1/m (11)
Formation enthalpy at 0 K: 0.095 eV per atom

Lattice parameters (Å, degrees): 4.7922 5.5397 33.5433 90.00 90.22 90.00
With the nearest neighbours (Å) after each atom.
Atoms (fractional coordinates):
Hg 0.1649 0.2500 0.2971  6 Pt 2.86-2.87
Hg 0.8351 0.7500 0.7029  6 Pt 2.86-2.87
Pt 0.0000 0.0000 0.0000  12 Pt 2.77-2.82
Pt 0.0002 0.0031 0.2078  11 Pt 2.73-2.86
Pt 0.0002 0.4969 0.2078  11 Pt 2.73-2.86
Pt 0.0000 0.5000 0.0000  12 Pt 2.77-2.82
Pt 0.9998 0.5031 0.7922  11 Pt 2.73-2.86
Pt 0.9998 0.9969 0.7922  11 Pt 2.73-2.86
Pt 0.1643 0.7500 0.8616  12 Pt 2.76-2.87
Pt 0.1652 0.2500 0.8627  12 Pt 2.77-2.86
Pt 0.1670 0.7500 0.2759  7 Pt 2.75-2.83, 2 Hg 2.86
Pt 0.1677 0.2500 0.0692  12 Pt 2.76-2.82
Pt 0.1694 0.7500 0.0690  12 Pt 2.76-2.82
Pt 0.3318 0.9997 0.9310  12 Pt 2.76-2.83
Pt 0.3318 0.5003 0.9310  12 Pt 2.76-2.83
Pt 0.3351 0.0009 0.1384  12 Pt 2.76-2.83
Pt 0.3348 0.0042 0.7241  7 Pt 2.72-2.82, 2 Hg 2.87
Pt 0.3348 0.4958 0.7241  7 Pt 2.72-2.82, 2 Hg 2.87
Pt 0.3351 0.4991 0.1384  12 Pt 2.76-2.83
Pt 0.4941 0.2500 0.2087  11 Pt 2.73-2.87
Pt 0.4987 0.2500 0.7935  12 Pt 2.77-2.83
Pt 0.5001 0.2500 0.0003  12 Pt 2.77-2.82
Pt 0.4999 0.7500 0.9997  12 Pt 2.77-2.82
Pt 0.5013 0.7500 0.2065  12 Pt 2.77-2.83
Pt 0.5059 0.7500 0.7913  11 Pt 2.73-2.87
Pt 0.6649 0.5009 0.8616  12 Pt 2.76-2.83
Pt 0.6652 0.5042 0.2759  7 Pt 2.72-2.82, 2 Hg 2.87
Pt 0.6652 0.9958 0.2759  7 Pt 2.72-2.82, 2 Hg 2.87
Pt 0.6649 0.9991 0.8616  12 Pt 2.76-2.83
Pt 0.6682 0.0003 0.0690  12 Pt 2.76-2.83
Pt 0.6682 0.4997 0.0690  12 Pt 2.76-2.83
Pt 0.8306 0.2500 0.9310  12 Pt 2.76-2.82
Pt 0.8323 0.7500 0.9308  12 Pt 2.76-2.82
Pt 0.8330 0.2500 0.7241  7 Pt 2.75-2.83, 2 Hg 2.86
Pt 0.8348 0.7500 0.1373  12 Pt 2.77-2.86
Pt 0.8357 0.2500 0.1384  12 Pt 2.76-2.87



Question: Which value of raw total energy does entry 4 give?
Answer: -0.374 Ry per atom